Hf2ReMoO | GGA+U | relaxed

a = 5.075 Å, b = 5.075 Å, c = 4.593 Å
α = 90.00°, β = 90.00°, γ = 90.00°
Element x y z (fractional)
1 Hf 0.500 0.000 0.000
2 Hf 0.000 0.500 0.000
3 Re 0.000 0.000 0.500
4 O 0.500 0.500 0.500
5 Mo 0.000 0.000 0.000

Properties
Energy (eV/atom): -7.05
Calculated volume (Å³ per atom): 23.7